# 1
# ReAgMo2

An optimized crystal structure of ReAgMo2 (PBEsol, Alexandria).

abc: 2.679 2.679 9.065
angles: 90.00 90.00 108.21
Fractional positions:
Re 0.000 0.000 0.000
Ag 0.000 0.000 0.500
Mo 0.500 0.500 0.238
Mo 0.500 0.500 0.762

## Properties
Spin magnetization   0.0 μB per formula unit
ΔE_f   0.295 eV/atom
Relative energy among the computed polymorphs   0.0 meV/atom
Density   13053 kg/m³
Space group   Cmmm, No. 65
Total energy   -9.750 eV per atom

---

# 2
# AgMo2Rh

An optimized crystal structure of AgMo2Rh (PBEsol, Alexandria).

abc: 4.739 4.739 4.739
angles: 130.62 130.62 72.42
Fractional positions:
Ag 0.000 0.000 0.000
Mo 0.500 0.500 0.000
Mo 0.750 0.250 0.500
Rh 0.250 0.750 0.500

## Properties
Spin magnetization   0.0 μB per formula unit
ΔE_f   0.345 eV/atom
Density   11160 kg/m³
Space group   I-4m2, No. 119
Total energy   -8.402 eV per atom

---

# 3
# Ag2MoRu

An optimized crystal structure of Ag2MoRu (PBEsol, Alexandria).

abc: 4.432 4.432 4.432
angles: 60.00 60.00 60.00
Fractional positions:
Ag 0.000 0.000 0.000
Ag 0.250 0.250 0.250
Mo 0.500 0.500 0.500
Ru 0.750 0.750 0.750

## Properties
Spin magnetization   0.0 μB per formula unit
ΔE_f   0.618 eV/atom
Relative energy among the computed polymorphs   95.4 meV/atom
Density   11134 kg/m³
Space group   F-43m, No. 216
Total energy   -6.523 eV per atom

---

# 4
# Ag2MoRu

An optimized crystal structure of Ag2MoRu (PBEsol, Alexandria).

abc: 2.638 2.638 9.609
angles: 90.00 90.00 112.66
Fractional positions:
Ag 0.000 0.000 0.247
Ag 0.000 0.000 0.753
Mo 0.500 0.500 0.500
Ru 0.500 0.500 0.000

## Properties
Spin magnetization   0.0 μB per formula unit
ΔE_f   0.582 eV/atom
Relative energy among the computed polymorphs   59.6 meV/atom
Density   11103 kg/m³
Space group   Cmmm, No. 65
Total energy   -6.559 eV per atom

---

# 5
# AgMoRu3

An optimized crystal structure of AgMoRu3 (PBEsol, Alexandria).

abc: 4.596 4.596 4.596
angles: 90.00 90.00 90.00
Fractional positions:
Ag 0.000 0.000 0.000
Mo 0.500 0.500 0.500
Ru 0.000 0.000 0.500
Ru 0.000 0.500 0.000
Ru 0.500 0.000 0.000

## Properties
Spin magnetization   1.6 μB per formula unit
ΔE_f   2.758 eV/atom
Density   8670 kg/m³
Space group   Pm-3m, No. 221
Total energy   -6.361 eV per atom

---

# 6
# Ag2MoRu

An optimized crystal structure of Ag2MoRu (PBEsol, Alexandria).

abc: 2.672 4.420 5.160
angles: 90.00 90.10 90.00
Fractional positions:
Ag 0.000 0.000 0.249
Ag 0.000 0.000 0.751
Mo 0.500 0.500 0.500
Ru 0.500 0.500 0.000

## Properties
Spin magnetization   0.0 μB per formula unit
ΔE_f   0.522 eV/atom
Relative energy among the computed polymorphs   0.0 meV/atom
Density   11246 kg/m³
Space group   P2/m, No. 10
Total energy   -6.618 eV per atom

---

# 7
# AgMo6Se4S4

An optimized crystal structure of AgMo6Se4S4 (PBEsol, Alexandria).

abc: 6.524 6.551 6.556
angles: 91.90 93.27 91.37
Fractional positions:
Ag 0.000 0.000 0.000
Mo 0.258 0.428 0.496
Mo 0.457 0.094 0.641
Mo 0.493 0.467 0.868
Mo 0.593 0.285 0.311
Mo 0.635 0.646 0.547
Mo 0.831 0.315 0.689
Se 0.256 0.088 0.300
Se 0.416 0.625 0.216
Se 0.793 0.994 0.468
Se 0.840 0.650 0.891
S 0.188 0.265 0.809
S 0.318 0.743 0.700
S 0.647 0.147 0.962
S 0.904 0.480 0.373

## Properties
Spin magnetization   0.0 μB per formula unit
Formation energy without anion corrections   -0.601 eV/atom
Density   6699 kg/m³
Space group   P1, No. 1
Total energy   -7.725 eV per atom

---

# 8
# ZrAg2MoS

An optimized crystal structure of ZrAg2MoS (PBEsol, Alexandria).

abc: 5.095 5.095 4.638
angles: 90.00 90.00 90.00
Fractional positions:
Zr 0.000 0.000 0.000
Ag 0.000 0.500 0.000
Ag 0.500 0.000 0.000
Mo 0.000 0.000 0.500
S 0.500 0.500 0.500

## Properties
Spin magnetization   0.5 μB per formula unit
Formation energy without anion corrections   1.717 eV/atom
Density   5998 kg/m³
Space group   P4/mmm, No. 123
Total energy   -4.656 eV per atom

---

# 9
# AgSb2Mo

An optimized crystal structure of AgSb2Mo (PBEsol, Alexandria).

abc: 4.743 4.743 5.556
angles: 99.77 99.77 40.75
Fractional positions:
Ag 0.000 0.000 0.000
Sb 0.233 0.233 0.723
Sb 0.767 0.767 0.277
Mo 0.500 0.500 0.500

## Properties
Spin magnetization   0.0 μB per formula unit
Formation energy without anion corrections   0.329 eV/atom
Relative energy among the computed polymorphs   161.9 meV/atom
Density   9257 kg/m³
Space group   C2/m, No. 12
Total energy   -5.719 eV per atom

---

# 10
# AgSb2Mo

An optimized crystal structure of AgSb2Mo (PBEsol, Alexandria).

abc: 3.443 3.443 6.601
angles: 90.00 90.00 90.00
Fractional positions:
Ag 0.000 0.000 0.000
Sb 0.500 0.500 0.270
Sb 0.500 0.500 0.730
Mo 0.000 0.000 0.500

## Properties
Spin magnetization   0.0 μB per formula unit
Formation energy without anion corrections   0.167 eV/atom
Relative energy among the computed polymorphs   0.0 meV/atom
Density   9495 kg/m³
Space group   P4/mmm, No. 123
Total energy   -5.881 eV per atom

---

# 11
# AgSbMo2

An optimized crystal structure of AgSbMo2 (PBEsol, Alexandria).

abc: 9.138 9.138 9.138
angles: 18.72 18.72 18.72
Fractional positions:
Ag 0.000 0.000 0.000
Sb 0.500 0.500 0.500
Mo 0.248 0.248 0.248
Mo 0.752 0.752 0.752

## Properties
Spin magnetization   0.0 μB per formula unit
Formation energy without anion corrections   0.616 eV/atom
Density   10189 kg/m³
Space group   R-3m, No. 166
Total energy   -7.235 eV per atom

---

# 12
# AgSbTe2Mo

An optimized crystal structure of AgSbTe2Mo (PBEsol, Alexandria).

abc: 5.200 5.200 5.202
angles: 90.00 90.00 90.00
Fractional positions:
Ag 0.000 0.000 0.000
Sb 0.500 0.500 0.000
Te 0.000 0.500 0.500
Te 0.500 0.000 0.500
Mo 0.500 0.500 0.500

## Properties
Spin magnetization   0.0 μB per formula unit
Formation energy without anion corrections   0.657 eV/atom
Density   6857 kg/m³
Space group   P4/mmm, No. 123
Total energy   -4.681 eV per atom

---

# 13
# Sc2AgMo

An optimized crystal structure of Sc2AgMo (PBEsol, Alexandria).

abc: 2.861 2.861 9.095
angles: 90.00 90.00 90.23
Fractional positions:
Sc 0.000 0.000 0.000
Sc 0.500 0.500 0.301
Ag 0.000 0.000 0.537
Mo 0.500 0.500 0.766

## Properties
Spin magnetization   0.0 μB per formula unit
ΔE_f   0.205 eV/atom
Relative energy among the computed polymorphs   245.8 meV/atom
Density   6553 kg/m³
Space group   Cmm2, No. 35
Total energy   -6.868 eV per atom

---

# 14
# Sc2AgMo

An optimized crystal structure of Sc2AgMo (PBEsol, Alexandria).

abc: 2.936 4.412 5.743
angles: 90.00 90.00 90.00
Fractional positions:
Sc 0.000 0.000 0.000
Sc 0.500 0.500 0.316
Ag 0.000 0.000 0.522
Mo 0.500 0.500 0.822

## Properties
Spin magnetization   0.0 μB per formula unit
ΔE_f   0.182 eV/atom
Relative energy among the computed polymorphs   223.6 meV/atom
Density   6558 kg/m³
Space group   Pmm2, No. 25
Total energy   -6.890 eV per atom

---

# 15
# Sc2AgMo

An optimized crystal structure of Sc2AgMo (PBEsol, Alexandria).

abc: 3.283 3.283 6.803
angles: 90.00 90.00 90.00
Fractional positions:
Sc 0.000 0.000 0.233
Sc 0.000 0.000 0.767
Ag 0.500 0.500 0.500
Mo 0.500 0.500 0.000

## Properties
Spin magnetization   0.0 μB per formula unit
ΔE_f   -0.041 eV/atom
Relative energy among the computed polymorphs   0.0 meV/atom
Density   6651 kg/m³
Space group   P4/mmm, No. 123
Total energy   -7.114 eV per atom

---

# 16
# Ag2MoSe

An optimized crystal structure of Ag2MoSe (PBEsol, Alexandria).

abc: 2.712 4.650 5.331
angles: 90.00 90.00 90.00
Fractional positions:
Ag 0.000 0.000 0.242
Ag 0.000 0.000 0.758
Mo 0.500 0.500 0.000
Se 0.500 0.500 0.500

## Properties
Spin magnetization   0.0 μB per formula unit
Formation energy without anion corrections   0.483 eV/atom
Density   9650 kg/m³
Space group   Pmmm, No. 47
Total energy   -5.077 eV per atom

---

# 17
# AgMoSe2

An optimized crystal structure of AgMoSe2 (PBEsol, Alexandria).

abc: 4.552 4.552 3.243
angles: 90.00 90.00 90.00
Fractional positions:
Ag 0.000 0.000 0.000
Mo 0.500 0.500 0.000
Se 0.000 0.500 0.500
Se 0.500 0.000 0.500

## Properties
Spin magnetization   1.0 μB per formula unit
Formation energy without anion corrections   0.295 eV/atom
Relative energy among the computed polymorphs   0.0 meV/atom
Density   8939 kg/m³
Space group   P4/mmm, No. 123
Total energy   -5.400 eV per atom

---

# 18
# AgMo2Se

An optimized crystal structure of AgMo2Se (PBEsol, Alexandria).

abc: 2.767 2.767 8.990
angles: 90.00 90.00 111.25
Fractional positions:
Ag 0.000 0.000 0.000
Mo 0.500 0.500 0.264
Mo 0.500 0.500 0.736
Se 0.000 0.000 0.500

## Properties
Spin magnetization   0.0 μB per formula unit
Formation energy without anion corrections   0.624 eV/atom
Density   9803 kg/m³
Space group   Cmmm, No. 65
Total energy   -7.050 eV per atom

---

# 19
# Ag2MoSe

An optimized crystal structure of Ag2MoSe (PBEsol, Alexandria).

abc: 3.088 3.088 7.013
angles: 90.00 90.00 90.00
Fractional positions:
Ag 0.000 0.000 0.000
Ag 0.500 0.500 0.250
Mo 0.000 0.000 0.515
Se 0.500 0.500 0.705

## Properties
Spin magnetization   0.0 μB per formula unit
Formation energy without anion corrections   0.114 eV/atom
Density   9703 kg/m³
Space group   P4mm, No. 99
Total energy   -5.446 eV per atom

---

# 20
# AgMo2Se

An optimized crystal structure of AgMo2Se (PBEsol, Alexandria).

abc: 2.792 2.792 9.228
angles: 90.00 90.00 110.63
Fractional positions:
Ag 0.000 0.000 0.000
Mo 0.000 0.000 0.473
Mo 0.500 0.500 0.254
Se 0.500 0.500 0.709

## Properties
Spin magnetization   0.0 μB per formula unit
Formation energy without anion corrections   0.297 eV/atom
Density   9341 kg/m³
Space group   Cmm2, No. 35
Total energy   -7.378 eV per atom

---

# 21
# Ag2MoSe

An optimized crystal structure of Ag2MoSe (PBEsol, Alexandria).

abc: 5.641 5.641 5.641
angles: 149.02 134.31 56.23
Fractional positions:
Ag 0.240 0.240 0.000
Ag 0.760 0.760 0.000
Mo 0.500 0.000 0.500
Se 0.000 0.500 0.500

## Properties
Spin magnetization   0.0 μB per formula unit
Formation energy without anion corrections   0.384 eV/atom
Density   9881 kg/m³
Space group   Immm, No. 71
Total energy   -5.176 eV per atom

---

# 22
# AgMo2Se

An optimized crystal structure of AgMo2Se (PBEsol, Alexandria).

abc: 4.764 4.764 4.880
angles: 100.31 100.31 38.00
Fractional positions:
Ag 0.000 0.000 0.000
Mo 0.246 0.246 0.704
Mo 0.526 0.526 0.531
Se 0.773 0.773 0.297

## Properties
Spin magnetization   0.0 μB per formula unit
Formation energy without anion corrections   0.418 eV/atom
Density   9393 kg/m³
Space group   Cm, No. 8
Total energy   -7.257 eV per atom

---

# 23
# AgMoSe2

An optimized crystal structure of AgMoSe2 (PBEsol, Alexandria).

abc: 11.109 11.109 11.109
angles: 14.49 14.49 14.49
Fractional positions:
Ag 0.000 0.000 0.000
Mo 0.500 0.500 0.500
Se 0.423 0.423 0.423
Se 0.577 0.577 0.577

## Properties
Spin magnetization   0.0 μB per formula unit
Formation energy without anion corrections   0.451 eV/atom
Relative energy among the computed polymorphs   155.4 meV/atom
Density   8034 kg/m³
Space group   R-3m, No. 166
Total energy   -5.244 eV per atom

---

# 24
# AgMo2Se

An optimized crystal structure of AgMo2Se (PBEsol, Alexandria).

abc: 5.083 5.083 2.862
angles: 98.92 98.92 115.84
Fractional positions:
Ag 0.000 0.000 0.000
Mo 0.000 0.500 0.500
Mo 0.500 0.000 0.500
Se 0.500 0.500 0.000

## Properties
Spin magnetization   0.0 μB per formula unit
Formation energy without anion corrections   0.589 eV/atom
Density   9882 kg/m³
Space group   C2/m, No. 12
Total energy   -7.086 eV per atom

---

# 25
# Si2AgMo

An optimized crystal structure of Si2AgMo (PBEsol, Alexandria).

abc: 2.745 2.745 8.015
angles: 90.00 90.00 90.00
Fractional positions:
Si 0.000 0.000 0.226
Si 0.000 0.000 0.774
Ag 0.500 0.500 0.500
Mo 0.500 0.500 0.000

## Properties
Spin magnetization   0.0 μB per formula unit
Formation energy without anion corrections   0.192 eV/atom
Relative energy among the computed polymorphs   200.3 meV/atom
Density   7147 kg/m³
Space group   P4/mmm, No. 123
Total energy   -6.451 eV per atom

---

# 26
# Si2AgMo

An optimized crystal structure of Si2AgMo (PBEsol, Alexandria).

abc: 5.040 5.040 5.040
angles: 137.59 137.59 61.54
Fractional positions:
Si 0.000 0.000 0.000
Si 0.750 0.250 0.500
Ag 0.500 0.500 0.000
Mo 0.250 0.750 0.500

## Properties
Spin magnetization   0.0 μB per formula unit
Formation energy without anion corrections   0.108 eV/atom
Relative energy among the computed polymorphs   115.8 meV/atom
Density   7498 kg/m³
Space group   I-4m2, No. 119
Total energy   -6.535 eV per atom

---

# 27
# Si2AgMo

An optimized crystal structure of Si2AgMo (PBEsol, Alexandria).

abc: 4.708 4.708 4.708
angles: 131.28 131.28 71.37
Fractional positions:
Si 0.250 0.750 0.500
Si 0.750 0.250 0.500
Ag 0.000 0.000 0.000
Mo 0.500 0.500 0.000

## Properties
Spin magnetization   0.4 μB per formula unit
Formation energy without anion corrections   0.140 eV/atom
Relative energy among the computed polymorphs   148.6 meV/atom
Density   7483 kg/m³
Space group   I4/mmm, No. 139
Total energy   -6.503 eV per atom

---

# 28
# Si2AgMo

An optimized crystal structure of Si2AgMo (PBEsol, Alexandria).

abc: 3.191 3.191 5.738
angles: 90.00 90.00 90.00
Fractional positions:
Si 0.000 0.000 0.223
Si 0.000 0.000 0.777
Ag 0.500 0.500 0.500
Mo 0.500 0.500 0.000

## Properties
Spin magnetization   0.0 μB per formula unit
Formation energy without anion corrections   -0.008 eV/atom
Relative energy among the computed polymorphs   0.0 meV/atom
Density   7386 kg/m³
Space group   P4/mmm, No. 123
Total energy   -6.651 eV per atom

---

# 29
# TlAgSn2Mo

An optimized crystal structure of TlAgSn2Mo (PBEsol, Alexandria).

abc: 5.162 5.162 5.305
angles: 90.00 90.00 90.00
Fractional positions:
Tl 0.000 0.000 0.000
Ag 0.500 0.500 0.000
Sn 0.000 0.500 0.500
Sn 0.500 0.000 0.500
Mo 0.000 0.000 0.500

## Properties
Spin magnetization   0.5 μB per formula unit
ΔE_f   0.678 eV/atom
Density   7585 kg/m³
Space group   P4/mmm, No. 123
Total energy   -4.568 eV per atom

---

# 30
# Sr2AgMo

An optimized crystal structure of Sr2AgMo (PBEsol, Alexandria).

abc: 6.066 6.066 6.066
angles: 135.43 135.43 64.87
Fractional positions:
Sr 0.000 0.000 0.000
Sr 0.750 0.250 0.500
Ag 0.500 0.500 0.000
Mo 0.250 0.750 0.500

## Properties
Spin magnetization   3.2 μB per formula unit
ΔE_f   0.867 eV/atom
Density   5807 kg/m³
Space group   I-4m2, No. 119
Total energy   -3.823 eV per atom